1.
# PrGePd

PrGePd after structural relaxation (PBE-GGA, OQMD via LeMat-Bulk). Values from VASP.

Cell and atoms, written as Quantum ESPRESSO input:
```
&SYSTEM
  ibrav = 0, nat = 6, ntyp = 3
/
ATOMIC_SPECIES
Ge 72.64 Ge.upf
Pd 106.42 Pd.upf
Pr 140.91 Pr.upf
CELL_PARAMETERS angstrom
4.539 0.000 0.000
2.265 5.337 0.000
2.263 -0.264 5.333
ATOMIC_POSITIONS crystal
Ge 0.096 0.994 0.325
Ge 0.488 0.603 0.934
Pd 0.579 0.178 0.175
Pd 0.005 0.753 0.749
Pr 0.792 0.596 0.331
Pr 0.292 0.171 0.757
```

Summary:
uncorrected energy = -5.78 eV per atom
magnetic moment = 0.00 Bohr magnetons per cell

2.
# Pr3Ge4Pd2Pt2

Pr3Ge4Pd2Pt2 after structural relaxation (PBE-GGA, OQMD via LeMat-Bulk). Values from VASP.

Cell and atoms, written as Quantum ESPRESSO input:
```
&SYSTEM
  ibrav = 0, nat = 11, ntyp = 4
/
ATOMIC_SPECIES
Ge 72.64 Ge.upf
Pd 106.42 Pd.upf
Pr 140.91 Pr.upf
Pt 195.08 Pt.upf
CELL_PARAMETERS angstrom
-1.199 -1.137 12.971
-5.761 -4.494 10.844
5.402 0.480 -11.898
ATOMIC_POSITIONS crystal
Ge 0.306 0.306 0.000
Ge 0.694 0.694 0.000
Ge 0.950 0.450 0.500
Ge 0.050 0.550 0.500
Pd 0.404 0.404 0.000
Pd 0.596 0.596 0.000
Pr 0.148 0.148 0.000
Pr 0.852 0.852 0.000
Pr 0.500 0.000 0.500
Pt 0.749 0.249 0.500
Pt 0.251 0.751 0.500
```

Summary:
uncorrected energy = -5.93 eV per atom
magnetic moment = 0.02 Bohr magnetons per cell

3.
# Pr3Si2Ge2Pd2Pt2

Pr3Si2Ge2Pd2Pt2 after structural relaxation (PBE-GGA, OQMD via LeMat-Bulk). Values from VASP.

Cell and atoms, written as Quantum ESPRESSO input:
```
&SYSTEM
  ibrav = 0, nat = 11, ntyp = 5
/
ATOMIC_SPECIES
Ge 72.64 Ge.upf
Pd 106.42 Pd.upf
Pr 140.91 Pr.upf
Pt 195.08 Pt.upf
Si 28.09 Si.upf
CELL_PARAMETERS angstrom
3.349 11.283 5.194
-0.605 12.817 0.922
-3.533 -12.331 -0.981
ATOMIC_POSITIONS crystal
Ge 0.450 0.450 0.000
Ge 0.550 0.550 0.000
Pd 0.899 0.399 0.500
Pd 0.101 0.601 0.500
Pr 0.000 0.000 0.000
Pr 0.648 0.148 0.500
Pr 0.352 0.852 0.500
Pt 0.248 0.248 0.000
Pt 0.752 0.752 0.000
Si 0.802 0.302 0.500
Si 0.198 0.698 0.500
```

Summary:
uncorrected energy = -6.16 eV per atom
magnetic moment = 0.03 Bohr magnetons per cell